MnSiAu2: optimized geometry, PBE.

Results
The volume is 263 Å³ per cell. As for the raw formation energy: 0.14 eV/atom. As for the total magnetization: 0.90 μB per atom. The total DFT energy (no corrections) comes out at -5.145 eV/atom.

```
data_MnSiAu2
_chemical_formula_sum 'Mn4 Si4 Au8'
_cell_length_a 6.4039
_cell_length_b 6.4039
_cell_length_c 6.4039
_cell_angle_alpha 90.00
_cell_angle_beta 90.00
_cell_angle_gamma 90.00
_symmetry_space_group_name_H-M 'F -4 3 m'
_symmetry_Int_Tables_number 216
_symmetry_space_group_name_Hall 'F -4 2 3'
loop_
_atom_site_label
_atom_site_type_symbol
_atom_site_fract_x
_atom_site_fract_y
_atom_site_fract_z
Mn1 Mn 0.0000 0.0000 0.0000
Si1 Si 0.2500 0.2500 0.2500
Au1 Au 0.0000 0.0000 0.5000
Au2 Au 0.2500 0.2500 0.7500
```